Run i
Material: SrCaMn
Method: DFT, PBE
State: relaxed

Density ... 2.7 g/cm3
Volume ... 458 Å³/cell
Magnetic moment ... 14.48 Bohr magnetons per cell

Cell and atoms, written as CIF:
```
data_SrCaMn
_symmetry_space_group_name_H-M 'F -4 3 m'
_symmetry_Int_Tables_number 216
_symmetry_space_group_name_Hall 'F -4 2 3'
_cell_length_a 7.707
_cell_length_b 7.707
_cell_length_c 7.707
_cell_angle_alpha 90.00
_cell_angle_beta 90.00
_cell_angle_gamma 90.00
loop_
_atom_site_label
_atom_site_type_symbol
_atom_site_fract_x
_atom_site_fract_y
_atom_site_fract_z
Sr1 Sr 0.000 0.000 0.000
Ca1 Ca 0.000 0.000 0.500
Mn1 Mn 0.250 0.250 0.250
```

Run ii
Material: SrCaMn
Method: DFT, PBE
State: relaxed

Density ... 3.0 g/cm3
Volume ... 202 Å³/cell
Magnetic moment ... 7.07 Bohr magnetons per cell

Cell and atoms, written as CIF:
```
data_SrCaMn
_symmetry_space_group_name_H-M 'I 4 m m'
_symmetry_Int_Tables_number 107
_symmetry_space_group_name_Hall 'I 4 -2'
_cell_length_a 3.865
_cell_length_b 3.865
_cell_length_c 13.532
_cell_angle_alpha 90.00
_cell_angle_beta 90.00
_cell_angle_gamma 90.00
loop_
_atom_site_label
_atom_site_type_symbol
_atom_site_fract_x
_atom_site_fract_y
_atom_site_fract_z
Sr1 Sr 0.000 0.000 0.000
Ca1 Ca 0.000 0.000 0.274
Mn1 Mn 0.000 0.000 0.648
```

Taking the most stable structure as the zero point, the relative energies in kJ/mol of atoms are run i 19.5; run ii 0.0.

Run i
Material: SrCa2Mn
Method: DFT, PBE
State: relaxed

Density ... 2.6 g/cm3
Volume ... 142 Å³/cell
Magnetic moment ... 3.62 Bohr magnetons per cell

Cell and atoms, written as CIF:
```
data_SrCa2Mn
_symmetry_space_group_name_H-M 'P 1 2/m 1'
_symmetry_Int_Tables_number 10
_cell_length_a 3.844
_cell_length_b 3.846
_cell_length_c 9.638
_cell_angle_alpha 90.00
_cell_angle_beta 90.08
_cell_angle_gamma 90.00
loop_
_symmetry_equiv_pos_as_xyz
'x,y,z'
'-x,-y,-z'
'-x,y,-z'
'x,-y,z'
loop_
_atom_site_label
_atom_site_type_symbol
_atom_site_fract_x
_atom_site_fract_y
_atom_site_fract_z
Sr1 Sr 0.000 0.000 0.000
Ca1 Ca 0.500 0.500 0.317
Mn1 Mn 0.000 0.000 0.500
```

Run ii
Material: SrCa2Mn
Method: DFT, PBE
State: relaxed

Density ... 2.6 g/cm3
Volume ... 144 Å³/cell
Magnetic moment ... 4.30 Bohr magnetons per cell

Cell and atoms, written as CIF:
```
data_SrCa2Mn
_symmetry_space_group_name_H-M 'P 4/m m m'
_symmetry_Int_Tables_number 123
_symmetry_space_group_name_Hall '-P 4 2'
_cell_length_a 5.132
_cell_length_b 5.132
_cell_length_c 5.458
_cell_angle_alpha 90.00
_cell_angle_beta 90.00
_cell_angle_gamma 90.00
loop_
_atom_site_label
_atom_site_type_symbol
_atom_site_fract_x
_atom_site_fract_y
_atom_site_fract_z
Sr1 Sr 0.000 0.000 0.000
Ca1 Ca 0.000 0.500 0.500
Mn1 Mn 0.500 0.500 0.000
```

Run iii
Material: SrCa2Mn
Method: DFT, PBE
State: relaxed

Density ... 3.0 g/cm3
Volume ... 487 Å³/cell
Magnetic moment ... 1.14 Bohr magnetons per cell

Cell and atoms, written as CIF:
```
data_SrCa2Mn
_symmetry_space_group_name_H-M 'F m -3 m'
_symmetry_Int_Tables_number 225
_symmetry_space_group_name_Hall '-F 4 2 3'
_cell_length_a 7.866
_cell_length_b 7.866
_cell_length_c 7.866
_cell_angle_alpha 90.00
_cell_angle_beta 90.00
_cell_angle_gamma 90.00
loop_
_atom_site_label
_atom_site_type_symbol
_atom_site_fract_x
_atom_site_fract_y
_atom_site_fract_z
Sr1 Sr 0.000 0.000 0.000
Ca1 Ca 0.250 0.250 0.250
Mn1 Mn 0.000 0.000 0.500
```

Taking the most stable structure as the zero point, the relative energies in kJ/mol of atoms are run i 0.0; run ii 11.8; run iii 58.5.

Run i
Material: Sr2CaMn
Method: DFT, PBE
State: relaxed

Density ... 2.8 g/cm3
Volume ... 646 Å³/cell
Magnetic moment ... 14.73 Bohr magnetons per cell

Cell and atoms, written as CIF:
```
data_Sr2CaMn
_symmetry_space_group_name_H-M 'I -4 2 d'
_symmetry_Int_Tables_number 122
_symmetry_space_group_name_Hall 'I -4 2bw'
_cell_length_a 9.546
_cell_length_b 9.546
_cell_length_c 7.092
_cell_angle_alpha 90.00
_cell_angle_beta 90.00
_cell_angle_gamma 90.00
loop_
_atom_site_label
_atom_site_type_symbol
_atom_site_fract_x
_atom_site_fract_y
_atom_site_fract_z
Sr1 Sr 0.196 0.250 0.125
Ca1 Ca 0.000 0.000 0.500
Mn1 Mn 0.000 0.000 0.000
```

Run ii
Material: Sr2CaMn
Method: DFT, PBE
State: relaxed

Density ... 2.9 g/cm3
Volume ... 154 Å³/cell
Magnetic moment ... 3.55 Bohr magnetons per cell

Cell and atoms, written as CIF:
```
data_Sr2CaMn
_symmetry_space_group_name_H-M 'P 1 2/m 1'
_symmetry_Int_Tables_number 10
_cell_length_a 3.983
_cell_length_b 3.999
_cell_length_c 9.652
_cell_angle_alpha 90.00
_cell_angle_beta 90.11
_cell_angle_gamma 90.00
loop_
_symmetry_equiv_pos_as_xyz
'x,y,z'
'-x,-y,-z'
'-x,y,-z'
'x,-y,z'
loop_
_atom_site_label
_atom_site_type_symbol
_atom_site_fract_x
_atom_site_fract_y
_atom_site_fract_z
Sr1 Sr 0.000 0.000 0.197
Ca1 Ca 0.500 0.500 0.500
Mn1 Mn 0.500 0.500 0.000
```

Taking the most stable structure as the zero point, the relative energies in kJ/mol of atoms are run i 22.5; run ii 0.0.

Run i
Material: Sr2CaMn
Method: DFT, PBE
State: relaxed

Density ... 2.8 g/cm3
Volume ... 483 Å³/cell
Magnetic moment ... 11.02 Bohr magnetons per cell

Cell and atoms, written as CIF:
```
data_Sr2CaMn
_symmetry_space_group_name_H-M 'R 3 m'
_symmetry_Int_Tables_number 160
_symmetry_space_group_name_Hall 'R 3 -2"'
_cell_length_a 4.0408
_cell_length_b 4.0408
_cell_length_c 34.1882
_cell_angle_alpha 90.00
_cell_angle_beta 90.00
_cell_angle_gamma 120.00
loop_
_atom_site_label
_atom_site_type_symbol
_atom_site_fract_x
_atom_site_fract_y
_atom_site_fract_z
Sr1 Sr 0.0000 0.0000 0.0000
Sr2 Sr 0.0000 0.0000 0.2264
Ca1 Ca 0.0000 0.0000 0.4602
Mn1 Mn 0.0000 0.0000 0.7327
```

Run ii
Material: Sr2CaMn
Method: DFT, PBE
State: relaxed

Density ... 2.9 g/cm3
Volume ... 310 Å³/cell
Magnetic moment ... 7.98 Bohr magnetons per cell

Cell and atoms, written as CIF:
```
data_Sr2CaMn
_symmetry_space_group_name_H-M 'I -4 m 2'
_symmetry_Int_Tables_number 119
_symmetry_space_group_name_Hall 'I -4 -2'
_cell_length_a 5.348
_cell_length_b 5.348
_cell_length_c 10.823
_cell_angle_alpha 90.00
_cell_angle_beta 90.00
_cell_angle_gamma 90.00
loop_
_atom_site_label
_atom_site_type_symbol
_atom_site_fract_x
_atom_site_fract_y
_atom_site_fract_z
Sr1 Sr 0.000 0.000 0.000
Sr2 Sr 0.000 0.500 0.250
Ca1 Ca 0.000 0.000 0.500
Mn1 Mn 0.000 0.500 0.750
```

Run iii
Material: Sr2CaMn
Method: DFT, PBE
State: relaxed

Density ... 2.9 g/cm3
Volume ... 309 Å³/cell
Magnetic moment ... 7.18 Bohr magnetons per cell

Cell and atoms, written as CIF:
```
data_Sr2CaMn
_symmetry_space_group_name_H-M 'I m m 2'
_symmetry_Int_Tables_number 44
_cell_length_a 4.006
_cell_length_b 6.154
_cell_length_c 12.554
_cell_angle_alpha 90.00
_cell_angle_beta 90.00
_cell_angle_gamma 90.00
loop_
_symmetry_equiv_pos_as_xyz
'x,y,z'
'-x,-y,z'
'-x,y,z'
'x,-y,z'
'x+1/2,y+1/2,z+1/2'
'-x+1/2,-y+1/2,z+1/2'
'-x+1/2,y+1/2,z+1/2'
'x+1/2,-y+1/2,z+1/2'
loop_
_atom_site_label
_atom_site_type_symbol
_atom_site_fract_x
_atom_site_fract_y
_atom_site_fract_z
Sr1 Sr 0.000 0.000 0.000
Sr2 Sr 0.000 0.500 0.202
Ca1 Ca 0.000 0.500 0.798
Mn1 Mn 0.000 0.000 0.491
```

Taking the most stable structure as the zero point, the relative energies in kJ/mol of atoms are run i 6.7; run ii 9.2; run iii 0.0.

Run i
Material: Sr2CaMn
Method: DFT, PBE
State: relaxed

Density ... 3.0 g/cm3
Volume ... 608 Å³/cell
Magnetic moment ... 19.51 Bohr magnetons per cell

Cell and atoms, written as CIF:
```
data_Sr2CaMn
_symmetry_space_group_name_H-M 'F m -3 m'
_symmetry_Int_Tables_number 225
_symmetry_space_group_name_Hall '-F 4 2 3'
_cell_length_a 8.470
_cell_length_b 8.470
_cell_length_c 8.470
_cell_angle_alpha 90.00
_cell_angle_beta 90.00
_cell_angle_gamma 90.00
loop_
_atom_site_label
_atom_site_type_symbol
_atom_site_fract_x
_atom_site_fract_y
_atom_site_fract_z
Sr1 Sr 0.250 0.250 0.250
Ca1 Ca 0.000 0.000 0.000
Mn1 Mn 0.000 0.000 0.500
```

Run ii
Material: Sr2CaMn
Method: DFT, PBE
State: relaxed

Density ... 2.8 g/cm3
Volume ... 485 Å³/cell
Magnetic moment ... 10.46 Bohr magnetons per cell

Cell and atoms, written as CIF:
```
data_Sr2CaMn
_symmetry_space_group_name_H-M 'R -3 m'
_symmetry_Int_Tables_number 166
_symmetry_space_group_name_Hall '-R 3 2"'
_cell_length_a 4.0387
_cell_length_b 4.0387
_cell_length_c 34.3079
_cell_angle_alpha 90.00
_cell_angle_beta 90.00
_cell_angle_gamma 120.00
loop_
_atom_site_label
_atom_site_type_symbol
_atom_site_fract_x
_atom_site_fract_y
_atom_site_fract_z
Sr1 Sr 0.0000 0.0000 0.2327
Ca1 Ca 0.0000 0.0000 0.0000
Mn1 Mn 0.0000 0.0000 0.5000
```

Taking the most stable structure as the zero point, the relative energies in kJ/mol of atoms are run i 0.0; run ii 1.2.

Run i
Material: SrCaMn2
Method: DFT, PBE
State: relaxed

Density ... 3.6 g/cm3
Volume ... 443 Å³/cell
Magnetic moment ... 30.26 Bohr magnetons per cell

Cell and atoms, written as CIF:
```
data_SrCaMn2
_symmetry_space_group_name_H-M 'F m -3 m'
_symmetry_Int_Tables_number 225
_symmetry_space_group_name_Hall '-F 4 2 3'
_cell_length_a 7.623
_cell_length_b 7.623
_cell_length_c 7.623
_cell_angle_alpha 90.00
_cell_angle_beta 90.00
_cell_angle_gamma 90.00
loop_
_atom_site_label
_atom_site_type_symbol
_atom_site_fract_x
_atom_site_fract_y
_atom_site_fract_z
Sr1 Sr 0.000 0.000 0.000
Ca1 Ca 0.000 0.000 0.500
Mn1 Mn 0.250 0.250 0.250
```

Run ii
Material: SrCaMn2
Method: DFT, PBE
State: relaxed

Density ... 3.6 g/cm3
Volume ... 220 Å³/cell
Magnetic moment ... 15.06 Bohr magnetons per cell

Cell and atoms, written as CIF:
```
data_SrCaMn2
_symmetry_space_group_name_H-M 'I m m 2'
_symmetry_Int_Tables_number 44
_cell_length_a 3.630
_cell_length_b 5.416
_cell_length_c 11.180
_cell_angle_alpha 90.00
_cell_angle_beta 90.00
_cell_angle_gamma 90.00
loop_
_symmetry_equiv_pos_as_xyz
'x,y,z'
'-x,-y,z'
'-x,y,z'
'x,-y,z'
'x+1/2,y+1/2,z+1/2'
'-x+1/2,-y+1/2,z+1/2'
'-x+1/2,y+1/2,z+1/2'
'x+1/2,-y+1/2,z+1/2'
loop_
_atom_site_label
_atom_site_type_symbol
_atom_site_fract_x
_atom_site_fract_y
_atom_site_fract_z
Sr1 Sr 0.000 0.000 0.000
Ca1 Ca 0.000 0.500 0.796
Mn1 Mn 0.000 0.000 0.559
Mn2 Mn 0.000 0.500 0.236
```

Run iii
Material: SrCaMn2
Method: DFT, PBE
State: relaxed

Density ... 3.7 g/cm3
Volume ... 423 Å³/cell
Magnetic moment ... 32.97 Bohr magnetons per cell

Cell and atoms, written as CIF:
```
data_SrCaMn2
_symmetry_space_group_name_H-M 'F -4 3 m'
_symmetry_Int_Tables_number 216
_symmetry_space_group_name_Hall 'F -4 2 3'
_cell_length_a 7.505
_cell_length_b 7.505
_cell_length_c 7.505
_cell_angle_alpha 90.00
_cell_angle_beta 90.00
_cell_angle_gamma 90.00
loop_
_atom_site_label
_atom_site_type_symbol
_atom_site_fract_x
_atom_site_fract_y
_atom_site_fract_z
Sr1 Sr 0.000 0.000 0.000
Ca1 Ca 0.250 0.250 0.250
Mn1 Mn 0.000 0.000 0.500
Mn2 Mn 0.250 0.250 0.750
```

Taking the most stable structure as the zero point, the relative energies in kJ/mol of atoms are run i 4.9; run ii 0.0; run iii 11.6.